Record 1
# Tm4ThSc5 (PBE, relaxed)
# Formation energy = 213 meV/atom
# Calculated volume = 289.9 Å³ per cell
# Total magnetization = 0.000 μB per atom
# Energy above the most stable polymorph in this dataset = 0.000 eV per atom
# VASP energy = -5.483 eV/atom
data_Tm4ThSc5
_chemical_formula_sum 'Tm4 Th1 Sc5'
_symmetry_space_group_name_H-M 'P 1'
_symmetry_Int_Tables_number 1
_cell_length_a 8.149
_cell_length_b 8.149
_cell_length_c 10.718
_cell_angle_alpha 90.95
_cell_angle_beta 90.95
_cell_angle_gamma 24.04
loop_
_symmetry_equiv_pos_as_xyz
'x,y,z'
loop_
_atom_site_label
_atom_site_type_symbol
_atom_site_fract_x
_atom_site_fract_y
_atom_site_fract_z
Tm1 Tm 0.031 0.031 0.243
Tm2 Tm 0.343 0.343 0.254
Tm3 Tm 0.657 0.657 0.746
Tm4 Tm 0.969 0.969 0.757
Th1 Th 0.500 0.500 0.500
Sc1 Sc 0.173 0.173 0.036
Sc2 Sc 0.173 0.173 0.457
Sc3 Sc 0.500 0.500 0.000
Sc4 Sc 0.827 0.827 0.543
Sc5 Sc 0.827 0.827 0.964

---

Record 2
# Pr4SmIn3 (PBE, relaxed)
# Formation energy = -324 meV/atom
# Calculated volume = 248.6 Å³ per cell
# Total magnetization = 0.176 μB per atom
# Energy above the most stable polymorph in this dataset = 0.028 eV per atom
# VASP energy = -4.330 eV/atom
data_Pr4SmIn3
_chemical_formula_sum 'Pr4 Sm1 In3'
_symmetry_space_group_name_H-M 'P 1'
_symmetry_Int_Tables_number 1
_cell_length_a 9.834
_cell_length_b 9.834
_cell_length_c 9.834
_cell_angle_alpha 32.83
_cell_angle_beta 32.83
_cell_angle_gamma 32.83
loop_
_symmetry_equiv_pos_as_xyz
'x,y,z'
loop_
_atom_site_label
_atom_site_type_symbol
_atom_site_fract_x
_atom_site_fract_y
_atom_site_fract_z
Pr1 Pr 0.116 0.116 0.116
Pr2 Pr 0.369 0.369 0.369
Pr3 Pr 0.631 0.631 0.631
Pr4 Pr 0.884 0.884 0.884
Sm1 Sm 0.500 0.500 0.500
In1 In 0.000 0.000 0.000
In2 In 0.240 0.240 0.240
In3 In 0.760 0.760 0.760

---

Record 3
# SnHgBi3 (PBE, relaxed)
# Formation energy = 71 meV/atom
# Calculated volume = 658.1 Å³ per cell
# Total magnetization = 0.000 μB per atom
# Energy above the most stable polymorph in this dataset = 0.000 eV per atom
# VASP energy = -3.118 eV/atom
data_SnHgBi3
_chemical_formula_sum 'Sn4 Hg4 Bi12'
_symmetry_space_group_name_H-M 'P 1'
_symmetry_Int_Tables_number 1
_cell_length_a 11.752
_cell_length_b 4.571
_cell_length_c 16.384
_cell_angle_alpha 90.00
_cell_angle_beta 131.60
_cell_angle_gamma 90.00
loop_
_symmetry_equiv_pos_as_xyz
'x,y,z'
loop_
_atom_site_label
_atom_site_type_symbol
_atom_site_fract_x
_atom_site_fract_y
_atom_site_fract_z
Sn1 Sn 0.170 0.250 0.082
Sn2 Sn 0.170 0.250 0.582
Sn3 Sn 0.830 0.750 0.418
Sn4 Sn 0.830 0.750 0.918
Hg1 Hg 0.175 0.750 0.244
Hg2 Hg 0.175 0.750 0.744
Hg3 Hg 0.825 0.250 0.256
Hg4 Hg 0.825 0.250 0.756
Bi1 Bi 0.108 0.749 0.431
Bi2 Bi 0.108 0.751 0.931
Bi3 Bi 0.377 0.250 0.447
Bi4 Bi 0.377 0.250 0.947
Bi5 Bi 0.493 0.247 0.314
Bi6 Bi 0.493 0.253 0.814
Bi7 Bi 0.507 0.747 0.186
Bi8 Bi 0.507 0.753 0.686
Bi9 Bi 0.623 0.750 0.053
Bi10 Bi 0.623 0.750 0.553
Bi11 Bi 0.892 0.249 0.069
Bi12 Bi 0.892 0.251 0.569

---

Record 4
# CsCrTcS3 (PBE, relaxed)
# Calculated volume = 277.4 Å³ per cell
# Total magnetization = 0.355 μB per atom
# VASP energy = -6.249 eV/atom
# ΔE_f (raw) = -0.7114 eV per atom
data_CsCrTcS3
_chemical_formula_sum 'Cs2 Cr2 Tc2 S6'
_symmetry_space_group_name_H-M 'P 1'
_symmetry_Int_Tables_number 1
_cell_length_a 8.801
_cell_length_b 3.578
_cell_length_c 9.762
_cell_angle_alpha 90.00
_cell_angle_beta 115.52
_cell_angle_gamma 90.00
loop_
_symmetry_equiv_pos_as_xyz
'x,y,z'
loop_
_atom_site_label
_atom_site_type_symbol
_atom_site_fract_x
_atom_site_fract_y
_atom_site_fract_z
Cs1 Cs 0.007 0.250 0.249
Cs2 Cs 0.993 0.750 0.751
Cr1 Cr 0.464 0.250 0.140
Cr2 Cr 0.536 0.750 0.860
Tc1 Tc 0.471 0.750 0.386
Tc2 Tc 0.529 0.250 0.614
S1 S 0.274 0.750 0.133
S2 S 0.345 0.750 0.554
S3 S 0.358 0.250 0.872
S4 S 0.642 0.750 0.128
S5 S 0.655 0.250 0.446
S6 S 0.726 0.250 0.867

---

Record 5
# PuURh4 (PBE, relaxed)
# Formation energy = -432 meV/atom
# Calculated volume = 216.1 Å³ per cell
# Total magnetization = 0.825 μB per atom
# Energy above the most stable polymorph in this dataset = 0.054 eV per atom
# VASP energy = -9.603 eV/atom
data_PuURh4
_chemical_formula_sum 'Pu2 U2 Rh8'
_symmetry_space_group_name_H-M 'P 1'
_symmetry_Int_Tables_number 1
_cell_length_a 8.209
_cell_length_b 3.837
_cell_length_c 6.860
_cell_angle_alpha 90.00
_cell_angle_beta 90.00
_cell_angle_gamma 90.00
loop_
_symmetry_equiv_pos_as_xyz
'x,y,z'
loop_
_atom_site_label
_atom_site_type_symbol
_atom_site_fract_x
_atom_site_fract_y
_atom_site_fract_z
Pu1 Pu 0.250 0.000 0.157
Pu2 Pu 0.750 0.000 0.843
U1 U 0.250 0.000 0.752
U2 U 0.750 0.000 0.248
Rh1 Rh 0.000 0.000 0.500
Rh2 Rh 0.033 0.500 0.811
Rh3 Rh 0.250 0.500 0.449
Rh4 Rh 0.467 0.500 0.811
Rh5 Rh 0.500 0.000 0.500
Rh6 Rh 0.533 0.500 0.189
Rh7 Rh 0.750 0.500 0.551
Rh8 Rh 0.967 0.500 0.189

---

Record 6
# Pm4Bi3Te (PBE, relaxed)
# Calculated volume = 266.7 Å³ per cell
# Total magnetization = 0.000 μB per atom
# Energy above the most stable polymorph in this dataset = 0.004 eV per atom
# VASP energy = -5.301 eV/atom
# ΔE_f (raw) = -1.0780 eV per atom
data_Pm4Bi3Te
_chemical_formula_sum 'Pm4 Bi3 Te1'
_symmetry_space_group_name_H-M 'P 1'
_symmetry_Int_Tables_number 1
_cell_length_a 7.882
_cell_length_b 7.882
_cell_length_c 7.882
_cell_angle_alpha 131.79
_cell_angle_beta 131.79
_cell_angle_gamma 70.56
loop_
_symmetry_equiv_pos_as_xyz
'x,y,z'
loop_
_atom_site_label
_atom_site_type_symbol
_atom_site_fract_x
_atom_site_fract_y
_atom_site_fract_z
Pm1 Pm 0.000 0.500 0.500
Pm2 Pm 0.249 0.249 0.000
Pm3 Pm 0.500 0.000 0.500
Pm4 Pm 0.751 0.751 0.000
Bi1 Bi 0.000 0.000 0.000
Bi2 Bi 0.250 0.750 0.500
Bi3 Bi 0.750 0.250 0.500
Te1 Te 0.500 0.500 0.000

---

Record 7
# CeTmPt2 (PBE, relaxed)
# Formation energy = -1132 meV/atom
# Calculated volume = 95.4 Å³ per cell
# Total magnetization = 0.064 μB per atom
# VASP energy = -6.753 eV/atom
data_CeTmPt2
_chemical_formula_sum 'Ce1 Tm1 Pt2'
_symmetry_space_group_name_H-M 'P 1'
_symmetry_Int_Tables_number 1
_cell_length_a 7.055
_cell_length_b 7.055
_cell_length_c 7.055
_cell_angle_alpha 33.53
_cell_angle_beta 33.53
_cell_angle_gamma 33.53
loop_
_symmetry_equiv_pos_as_xyz
'x,y,z'
loop_
_atom_site_label
_atom_site_type_symbol
_atom_site_fract_x
_atom_site_fract_y
_atom_site_fract_z
Ce1 Ce 0.000 0.000 0.000
Tm1 Tm 0.500 0.500 0.500
Pt1 Pt 0.249 0.249 0.249
Pt2 Pt 0.751 0.751 0.751

---

Record 8
# Pm2BiO (PBE, relaxed)
# Calculated volume = 93.4 Å³ per cell
# Total magnetization = 0.000 μB per atom
# Energy above the most stable polymorph in this dataset = 0.288 eV per atom
# VASP energy = -6.198 eV/atom
# ΔE_f (raw) = -1.6132 eV per atom
data_Pm2BiO
_chemical_formula_sum 'Pm2 Bi1 O1'
_symmetry_space_group_name_H-M 'P 1'
_symmetry_Int_Tables_number 1
_cell_length_a 7.959
_cell_length_b 7.959
_cell_length_c 7.959
_cell_angle_alpha 27.27
_cell_angle_beta 27.27
_cell_angle_gamma 27.27
loop_
_symmetry_equiv_pos_as_xyz
'x,y,z'
loop_
_atom_site_label
_atom_site_type_symbol
_atom_site_fract_x
_atom_site_fract_y
_atom_site_fract_z
Pm1 Pm 0.223 0.223 0.223
Pm2 Pm 0.777 0.777 0.777
Bi1 Bi 0.000 0.000 0.000
O1 O 0.500 0.500 0.500

---

Record 9
# Pr4Mg5Sn6 (PBE, relaxed)
# Formation energy = -550 meV/atom
# Calculated volume = 842.7 Å³ per cell
# Total magnetization = 0.000 μB per atom
# VASP energy = -3.957 eV/atom
data_Pr4Mg5Sn6
_chemical_formula_sum 'Pr8 Mg10 Sn12'
_symmetry_space_group_name_H-M 'P 1'
_symmetry_Int_Tables_number 1
_cell_length_a 10.775
_cell_length_b 10.775
_cell_length_c 16.864
_cell_angle_alpha 90.00
_cell_angle_beta 90.00
_cell_angle_gamma 154.51
loop_
_symmetry_equiv_pos_as_xyz
'x,y,z'
loop_
_atom_site_label
_atom_site_type_symbol
_atom_site_fract_x
_atom_site_fract_y
_atom_site_fract_z
Pr1 Pr 0.018 0.982 0.500
Pr2 Pr 0.034 0.966 0.764
Pr3 Pr 0.164 0.836 0.302
Pr4 Pr 0.175 0.825 0.943
Pr5 Pr 0.825 0.175 0.443
Pr6 Pr 0.836 0.164 0.802
Pr7 Pr 0.966 0.034 0.264
Pr8 Pr 0.982 0.018 0.000
Mg1 Mg 0.155 0.845 0.626
Mg2 Mg 0.304 0.696 0.620
Mg3 Mg 0.341 0.659 0.271
Mg4 Mg 0.349 0.651 0.982
Mg5 Mg 0.440 0.560 0.679
Mg6 Mg 0.560 0.440 0.179
Mg7 Mg 0.651 0.349 0.482
Mg8 Mg 0.659 0.341 0.771
Mg9 Mg 0.696 0.304 0.120
Mg10 Mg 0.845 0.155 0.126
Sn1 Sn 0.110 0.890 0.117
Sn2 Sn 0.226 0.774 0.478
Sn3 Sn 0.234 0.766 0.767
Sn4 Sn 0.429 0.571 0.129
Sn5 Sn 0.429 0.571 0.410
Sn6 Sn 0.441 0.559 0.853
Sn7 Sn 0.559 0.441 0.353
Sn8 Sn 0.571 0.429 0.629
Sn9 Sn 0.571 0.429 0.910
Sn10 Sn 0.766 0.234 0.267
Sn11 Sn 0.774 0.226 0.978
Sn12 Sn 0.890 0.110 0.617

---

Record 10
# Hf4Zr5Hg (PBE, relaxed)
# Formation energy = 282 meV/atom
# Calculated volume = 243.8 Å³ per cell
# Total magnetization = 0.000 μB per atom
# VASP energy = -8.003 eV/atom
data_Hf4Zr5Hg
_chemical_formula_sum 'Hf4 Zr5 Hg1'
_symmetry_space_group_name_H-M 'P 1'
_symmetry_Int_Tables_number 1
_cell_length_a 3.077
_cell_length_b 3.077
_cell_length_c 25.749
_cell_angle_alpha 90.00
_cell_angle_beta 90.00
_cell_angle_gamma 90.00
loop_
_symmetry_equiv_pos_as_xyz
'x,y,z'
loop_
_atom_site_label
_atom_site_type_symbol
_atom_site_fract_x
_atom_site_fract_y
_atom_site_fract_z
Hf1 Hf 0.000 0.000 0.117
Hf2 Hf 0.000 0.000 0.296
Hf3 Hf 0.000 0.000 0.704
Hf4 Hf 0.000 0.000 0.883
Zr1 Zr 0.500 0.500 0.203
Zr2 Zr 0.500 0.500 0.383
Zr3 Zr 0.500 0.500 0.500
Zr4 Zr 0.500 0.500 0.617
Zr5 Zr 0.500 0.500 0.797
Hg1 Hg 0.000 0.000 0.000

---

Record 11
# NpAlPb2S6 (PBE, relaxed)
# Calculated volume = 461.1 Å³ per cell
# Total magnetization = 0.200 μB per atom
# VASP energy = -5.681 eV/atom
# ΔE_f (raw) = -0.7943 eV per atom
data_NpAlPb2S6
_chemical_formula_sum 'Np2 Al2 Pb4 S12'
_symmetry_space_group_name_H-M 'P 1'
_symmetry_Int_Tables_number 1
_cell_length_a 6.739
_cell_length_b 7.036
_cell_length_c 11.758
_cell_angle_alpha 90.00
_cell_angle_beta 124.20
_cell_angle_gamma 90.00
loop_
_symmetry_equiv_pos_as_xyz
'x,y,z'
loop_
_atom_site_label
_atom_site_type_symbol
_atom_site_fract_x
_atom_site_fract_y
_atom_site_fract_z
Np1 Np 0.000 0.000 0.000
Np2 Np 0.000 0.500 0.500
Al1 Al 0.500 0.000 0.500
Al2 Al 0.500 0.500 0.000
Pb1 Pb 0.276 0.069 0.756
Pb2 Pb 0.276 0.431 0.256
Pb3 Pb 0.724 0.569 0.744
Pb4 Pb 0.724 0.931 0.244
S1 S 0.163 0.018 0.260
S2 S 0.163 0.482 0.760
S3 S 0.257 0.694 0.050
S4 S 0.257 0.806 0.550
S5 S 0.358 0.209 0.045
S6 S 0.358 0.291 0.545
S7 S 0.642 0.709 0.455
S8 S 0.642 0.791 0.955
S9 S 0.743 0.194 0.450
S10 S 0.743 0.306 0.950
S11 S 0.837 0.518 0.240
S12 S 0.837 0.982 0.740

---

Record 12
# Ba2AcAlSe5 (PBE, relaxed)
# Calculated volume = 585.8 Å³ per cell
# Total magnetization = 0.000 μB per atom
# VASP energy = -4.965 eV/atom
# ΔE_f (raw) = -1.7295 eV per atom
data_Ba2AcAlSe5
_chemical_formula_sum 'Ba4 Ac2 Al2 Se10'
_symmetry_space_group_name_H-M 'P 1'
_symmetry_Int_Tables_number 1
_cell_length_a 9.944
_cell_length_b 9.944
_cell_length_c 13.821
_cell_angle_alpha 90.00
_cell_angle_beta 90.00
_cell_angle_gamma 154.62
loop_
_symmetry_equiv_pos_as_xyz
'x,y,z'
loop_
_atom_site_label
_atom_site_type_symbol
_atom_site_fract_x
_atom_site_fract_y
_atom_site_fract_z
Ba1 Ba 0.117 0.883 0.500
Ba2 Ba 0.122 0.878 0.154
Ba3 Ba 0.878 0.122 0.654
Ba4 Ba 0.883 0.117 0.000
Ac1 Ac 0.198 0.802 0.849
Ac2 Ac 0.802 0.198 0.349
Al1 Al 0.447 0.553 0.228
Al2 Al 0.553 0.447 0.728
Se1 Se 0.031 0.969 0.821
Se2 Se 0.297 0.703 0.502
Se3 Se 0.325 0.675 0.187
Se4 Se 0.352 0.648 0.828
Se5 Se 0.495 0.505 0.579
Se6 Se 0.505 0.495 0.079
Se7 Se 0.648 0.352 0.328
Se8 Se 0.675 0.325 0.687
Se9 Se 0.703 0.297 0.002
Se10 Se 0.969 0.031 0.321